(1)
This record from Alexandria via LeMat-Bulk describes crystalline InCu2Br at its relaxed geometry. The functional is GGA-PBE.

Structure (POSCAR):
```
InCu2Br
1.0
3.5971 0.0000 0.0000
0.0000 3.5971 0.0000
0.0000 0.0000 6.2700
In Cu Br
1 2 1
Cartesian
1.7986 1.7986 1.5675
0.0000 0.0000 2.7719
0.0000 0.0000 0.3631
1.7986 1.7986 4.7025
```

## Properties
mass density = 6.59 g cm⁻³
D(E_F) = 0.29 states/eV per atom
space group = P4/mmm (123)
uncorrected formation energy = 213 meV per atom


(2)
This record from Alexandria via LeMat-Bulk describes crystalline BeSb2Se at its relaxed geometry. The functional is GGA-PBE.

Structure (POSCAR):
```
BeSb2Se
1.0
3.8485 -0.0326 0.0481
1.9208 3.3350 0.0481
1.9556 1.1194 6.8162
Sb Be Se
2 1 1
Cartesian
5.7932 3.3160 0.4440
3.8386 2.1972 3.1083
1.9312 1.1054 1.7281
5.7937 3.3163 5.1843
```

## Properties
mass density = 6.29 g cm⁻³
D(E_F) = 0.48 states/eV per atom
space group = C2/m (12)
uncorrected formation energy = 161 meV per atom


Q: Which value of D(E_F) does entry 1 give?
A: 0.29 states/eV per atom